AcCeTe2O8 | PBE | relaxed

Geometry as CIF:
```
data_AcCeTe2O8
_space_group_name_H-M_alt 'I -4 m 2'
_space_group_IT_number 119
_space_group_name_Hall 'I -4 -2'
_cell_length_a 7.637
_cell_length_b 7.637
_cell_length_c 7.172
_cell_angle_alpha 90.00
_cell_angle_beta 90.00
_cell_angle_gamma 90.00
loop_
_atom_site_label
_atom_site_type_symbol
_atom_site_fract_x
_atom_site_fract_y
_atom_site_fract_z
Ac1 Ac 0.000 0.000 0.000
Ce1 Ce 0.000 0.500 0.250
Te1 Te 0.000 0.000 0.500
Te2 Te 0.000 0.500 0.750
O1 O 0.000 0.198 0.311
O2 O 0.000 0.323 0.943
```

Values from the calculation:
formation energy (no corrections) = -1.961 eV/atom
total energy = -6.63 eV per atom
D(E_F) = 3.951 states/eV/f.u.